# Y2ErSc3As2Os

A relaxed structure of Y2ErSc3As2Os (GGA-PBE, the Open Quantum Materials Database).

a = 4.088 Å, b = 7.538 Å, c = 7.538 Å
α = 120.08°, β = 90.00°, γ = 90.00°
Fractional coordinates of all 9 atoms:
Y: 0.000 0.204 0.796
Y: 0.000 0.796 0.204
Er: 0.000 0.389 0.389
Sc: 0.500 0.030 0.030
Sc: 0.500 0.559 0.795
Sc: 0.500 0.795 0.559
As: 0.500 0.130 0.462
As: 0.500 0.462 0.130
Os: 0.000 0.791 0.791

## Properties
Space-group type: Amm2
Uncorrected energy: -7.20 eV/atom